No. 1
Compound: Pr6AgOs2I3
Source: Alexandria via LeMat-Bulk
Functional: PBE
Structure: relaxed

The structure belongs to space group C2/m (No. 12); the cell edges are 7.4270, 12.8689 and 8.6030 Å and the angles 90.00°, 106.71° and 90.00°. The inequivalent atoms are Pr at (0.2008, 0.0000, 0.1888), Pr at (0.2446, 0.3189, 0.1898), Ag at (0.0000, 0.5000, 0.0000), Os at (0.0000, 0.1667, 0.0000), I at (0.0000, 0.0000, 0.5000) and I at (0.0000, 0.3354, 0.5000).

The calculation puts the uncorrected formation energy at -0.60 eV per atom. The total magnetization comes out at 0.000 μB/f.u. The total DFT energy (no corrections) is -131.77 eV per cell.



No. 2
Compound: Sr3GePd3
Source: Alexandria via LeMat-Bulk
Functional: PBE
Structure: relaxed

The structure belongs to space group C2/m (No. 12); the cell edges are 11.4226, 4.3833 and 15.6437 Å and the angles 90.00°, 109.21° and 90.00°. The inequivalent atoms are Sr at (0.0184, 0.0000, 0.3844), Sr at (0.1036, 0.0000, 0.9248), Sr at (0.2405, 0.0000, 0.2250), Ge at (0.2349, 0.5000, 0.3863), Pd at (0.0492, 0.5000, 0.2391), Pd at (0.1068, 0.5000, 0.0766) and Pd at (0.1903, 0.5000, 0.5367).

The formation enthalpy at 0 K comes out at -4.53 eV/f.u. The total magnetization comes out at 0.000 μB/f.u. The total DFT energy (no corrections) is -119.10 eV per cell.



No. 3
Compound: AlP2W
Source: Alexandria via LeMat-Bulk
Functional: PBE
Structure: relaxed

The structure belongs to space group P4mm (No. 99); the cell edges are 3.3626, 3.3626 and 5.1876 Å and the angles 90.00°, 90.00° and 90.00°. The inequivalent atoms are Al at (0.0000, 0.0000, 0.0000), P at (0.0000, 0.0000, 0.5057), P at (0.5000, 0.5000, 0.1516) and W at (0.5000, 0.5000, 0.6537).

The formation enthalpy at 0 K comes out at -0.12 eV/f.u. The total magnetization comes out at 0.000 μB/f.u. The total DFT energy (no corrections) is -27.64 eV per cell.



No. 4
Compound: ZnFeNi2
Source: Alexandria via LeMat-Bulk
Functional: PBE
Structure: relaxed

The structure belongs to space group Pmm2 (No. 25); the cell edges are 2.6004, 4.1977 and 4.3207 Å and the angles 90.00°, 90.00° and 90.00°. The inequivalent atoms are Zn at (0.0000, 0.0000, 0.0000), Fe at (0.0000, 0.5000, 0.6212), Ni at (0.5000, 0.0000, 0.4970) and Ni at (0.5000, 0.5000, 0.1273).

The formation enthalpy at 0 K comes out at -0.31 eV/f.u. The total magnetization comes out at 3.553 μB/f.u. The total DFT energy (no corrections) is -21.61 eV per cell.



No. 5
Compound: CeYAgS4
Source: Alexandria via LeMat-Bulk
Functional: PBE
Structure: relaxed

The structure belongs to space group Imma (No. 74); the cell edges are 7.8972, 8.1769 and 11.2730 Å and the angles 90.00°, 90.00° and 90.00°. The inequivalent atoms are Ce at (0.0000, 0.0000, 0.0000), Y at (0.2500, 0.2500, 0.2500), Ag at (0.0000, 0.2500, 0.6322), S at (0.0000, 0.0173, 0.2413) and S at (0.2333, 0.2500, 0.0061).

The calculation puts the uncorrected formation energy at -1.51 eV per atom. The total magnetization comes out at 0.000 μB/f.u. The total DFT energy (no corrections) is -169.33 eV per cell.



No. 6
Compound: La2HoTl4
Source: Alexandria via LeMat-Bulk
Functional: PBE
Structure: relaxed

The structure belongs to space group I4/mmm (No. 139); the cell edges are 5.3491, 5.3491 and 15.4999 Å and the angles 90.00°, 90.00° and 90.00°. The inequivalent atoms are La at (0.0000, 0.0000, 0.2483), Ho at (0.0000, 0.0000, 0.5000) and Tl at (0.0000, 0.5000, 0.1081).

The formation enthalpy at 0 K comes out at -1.84 eV/f.u. The value obtained for the relative energy among the computed polymorphs is 0.000 eV per atom. The total magnetization comes out at 0.002 μB/f.u. The total DFT energy (no corrections) is -51.47 eV per cell.



No. 7
Compound: FeP2Br
Source: Alexandria via LeMat-Bulk
Functional: PBE
Structure: relaxed

The structure belongs to space group P4/mmm (No. 123); the cell edges are 2.7121, 2.7121 and 11.1122 Å and the angles 90.00°, 90.00° and 90.00°. The inequivalent atoms are Fe at (0.0000, 0.0000, 0.0000), P at (0.5000, 0.5000, 0.1307) and Br at (0.0000, 0.0000, 0.5000).

The calculation puts the uncorrected formation energy at 0.08 eV per atom. The value obtained for the relative energy among the computed polymorphs is 0.173 eV per atom. The total magnetization comes out at 0.233 μB/f.u. The total DFT energy (no corrections) is -20.63 eV per cell.



No. 8
Compound: FeSeBr2
Source: Alexandria via LeMat-Bulk
Functional: PBE
Structure: relaxed

The structure belongs to space group P4mm (No. 99); the cell edges are 3.6104, 3.6104 and 8.3164 Å and the angles 90.00°, 90.00° and 90.00°. The inequivalent atoms are Fe at (0.0000, 0.0000, 0.0000), Se at (0.5000, 0.5000, 0.9236), Br at (0.0000, 0.0000, 0.2759) and Br at (0.5000, 0.5000, 0.6310).

The calculation puts the uncorrected formation energy at 0.01 eV per atom. The value obtained for the relative energy among the computed polymorphs is 0.211 eV per atom. The total magnetization comes out at 3.700 μB/f.u. The total DFT energy (no corrections) is -15.24 eV per cell.